NaNiF3: optimized geometry, GGA+U.

Cell: 6.537 6.537 5.651 Å, 90.00 90.00 80.66°
Positions (direct):
Na 0.151 0.349 0.250
Na 0.349 0.151 0.750
Na 0.651 0.849 0.250
Na 0.849 0.651 0.750
Ni 0.181 0.819 0.383
Ni 0.319 0.681 0.883
Ni 0.681 0.319 0.117
Ni 0.819 0.181 0.617
F 0.055 0.945 0.699
F 0.058 0.677 0.097
F 0.177 0.558 0.597
F 0.323 0.942 0.097
F 0.442 0.823 0.597
F 0.445 0.555 0.199
F 0.555 0.445 0.801
F 0.558 0.177 0.403
F 0.677 0.058 0.903
F 0.823 0.442 0.403
F 0.942 0.323 0.903
F 0.945 0.055 0.301

Computed properties:
* density: 3.87 Mg/m³
* magnetization: 0.40 μB/atom
* symmetry: Cmce, No. 64
* E: -81.5 eV for the cell shown